Material: TaPtNO
Method: DFT, PBE-GGA
State: relaxed

## Properties
total DFT energy (no corrections) = -8.603 eV per atom
magnetic moment = 0.000 μB per atom
E above lowest polymorph = 359 meV/atom

```
TaPtNO
1.0
-2.701 1.841 0.079
-0.242 -0.601 5.737
3.247 4.738 0.633
N O Pt Ta
2 2 2 2
direct
0.000 0.813 0.340
0.000 0.313 0.660
0.500 0.465 0.150
0.500 0.965 0.850
0.500 0.026 0.270
0.500 0.526 0.730
0.000 0.450 0.342
0.000 0.950 0.658
```

---

Material: KHoCoTe3
Method: DFT, PBE-GGA
State: relaxed

## Properties
total DFT energy (no corrections) = -4.548 eV per atom
magnetic moment = 0.314 μB per atom
E above lowest polymorph = 0 meV/atom

```
KHoCoTe3
1.0
-3.660 -2.644 -8.504
-3.512 -1.293 1.913
-2.476 9.960 2.185
Co Ho K Te
2 2 2 6
direct
0.426 0.750 0.412
0.574 0.250 0.588
0.178 0.250 0.143
0.822 0.750 0.857
0.725 0.250 0.264
0.275 0.750 0.736
0.411 0.750 0.160
0.957 0.750 0.164
0.300 0.250 0.461
0.700 0.750 0.539
0.043 0.250 0.836
0.589 0.250 0.840
```

---

Material: YHo2Sb3
Method: DFT, PBE-GGA
State: relaxed

## Properties
total DFT energy (no corrections) = -5.796 eV per atom
magnetic moment = 0.002 μB per atom

```
YHo2Sb3
1.0
4.371 0.000 0.000
-2.185 3.785 0.000
0.000 0.000 10.705
Ho Sb Y
2 3 1
direct
0.667 0.333 0.167
0.333 0.667 0.833
0.000 0.000 0.000
0.333 0.667 0.332
0.667 0.333 0.668
0.000 0.000 0.500
```

---

> Among the records above, which one has the highest magnetic moment?

KHoCoTe3